# Sm6SiIr2I3 PBE-GGA optimized geometry
# Raw total energy ... -5.59 eV/atom
# E_form (uncorrected) ... -0.916 eV/atom
data_Sm6SiIr2I3
_chemical_formula_sum 'Sm6 Si1 Ir2 I3'
_symmetry_space_group_name_H-M 'P 1'
_symmetry_Int_Tables_number 1
_cell_length_a 7.321
_cell_length_b 7.321
_cell_length_c 8.293
_cell_angle_alpha 98.46
_cell_angle_beta 98.46
_cell_angle_gamma 120.02
loop_
_symmetry_equiv_pos_as_xyz
'x,y,z'
loop_
_atom_site_label
_atom_site_type_symbol
_atom_site_fract_x
_atom_site_fract_y
_atom_site_fract_z
Sm1 Sm 0.093 0.438 0.812
Sm2 Sm 0.216 0.216 0.187
Sm3 Sm 0.438 0.093 0.812
Sm4 Sm 0.562 0.907 0.188
Sm5 Sm 0.784 0.784 0.813
Sm6 Sm 0.907 0.562 0.188
Si1 Si 0.500 0.500 0.000
Ir1 Ir 0.167 0.833 0.000
Ir2 Ir 0.833 0.167 0.000
I1 I 0.000 0.000 0.500
I2 I 0.338 0.662 0.500
I3 I 0.662 0.338 0.500